(1)
VASP calculation (PBE-GGA) on a relaxed structure of LiB4Ru.

formation energy from the elements: 78 meV per atom
DOS(E_F): 1.9 states/eV per cell
polymorph energy (0 for the lowest one): 9 meV/atom

```
LiB4Ru
1.0
2.8828 -0.0001 -0.9694
-0.4205 2.9808 -1.2507
0.2464 0.5618 5.5041
Li B Ru
1 4 1
direct
0.9330 0.0163 0.0327
0.0707 0.6540 0.3080
0.3003 0.6310 0.7674
0.3003 0.1363 0.7674
0.4913 0.5746 0.1492
0.6543 0.2377 0.4755
```


(2)
VASP calculation (PBE-GGA) on a relaxed structure of KOs.

formation energy from the elements: 737 meV per atom
DOS(E_F): 2.8 states/eV per cell
polymorph energy (0 for the lowest one): 39 meV/atom

```
KOs
1.0
2.7574 0.0000 0.0000
0.0000 4.1268 0.0000
0.0000 0.0000 10.1437
K Os
2 2
direct
0.0000 0.0000 0.1311
0.5000 0.5000 0.7022
0.5000 0.0000 0.4519
0.0000 0.5000 0.3814
```


(3)
VASP calculation (PBE-GGA) on a relaxed structure of Hg2OsW.

formation energy from the elements: 1081 meV per atom
DOS(E_F): 3.9 states/eV per cell
polymorph energy (0 for the lowest one): 675 meV/atom

```
Hg2OsW
1.0
-1.2623 -2.2959 -1.1009
1.3700 0.4233 -2.4537
6.6760 -5.0408 2.8581
Hg Os W
2 1 1
direct
0.0000 0.0000 0.0052
0.0000 0.0000 0.4948
0.5000 0.5000 0.2500
0.5000 0.5000 0.7500
```


(4)
VASP calculation (PBE-GGA) on a relaxed structure of PrDy3In4.

formation energy from the elements: -467 meV per atom
DOS(E_F): 9.7 states/eV per cell

```
PrDy3In4
1.0
-0.5309 -5.4522 0.7461
6.9621 -0.3850 2.1406
-3.0625 1.7031 10.2668
Pr In Dy
2 8 6
direct
0.0000 0.5000 0.0000
0.0000 0.5000 0.5000
0.5000 0.7590 0.0000
0.5000 0.7590 0.5000
0.5000 0.2410 0.0000
0.5000 0.2410 0.5000
0.0824 0.7584 0.7500
0.9176 0.7584 0.2500
0.9176 0.2416 0.2500
0.0824 0.2416 0.7500
0.0000 0.0000 0.0000
0.0000 0.0000 0.5000
0.5768 0.0000 0.7500
0.4232 0.0000 0.2500
0.5662 0.5000 0.7500
0.4338 0.5000 0.2500
```


Number 1: E_tot -37.4 eV for the cell shown. Number 2: E_tot -21.7 eV for the cell shown. Number 3: E_tot -20.5 eV for the cell shown. Number 4: E_tot -66.5 eV for the cell shown.